[1]
Here is LaPmThN3 after structural relaxation from Alexandria via LeMat-Bulk. Energies are from GGA-PBE.

The structure in POSCAR format:
```
LaPmThN3
1.0
-0.5303 2.1847 2.8684
-5.2219 2.2337 -2.6667
-3.3657 -7.3007 4.9383
La Pm Th N
2 2 2 6
direct
0.7500 0.6519 0.6881 La
0.2500 0.3481 0.3119 La
0.2500 0.1465 0.6380 Pm
0.7500 0.8535 0.3620 Pm
0.2500 0.7652 0.0453 Th
0.7500 0.2348 0.9547 Th
0.2500 0.7496 0.5016 N
0.7500 0.0366 0.1448 N
0.7500 0.5440 0.1528 N
0.7500 0.2504 0.4984 N
0.2500 0.4560 0.8472 N
0.2500 0.9634 0.8552 N
```

Computed properties:
Calculated density (g cm⁻³): 8.8
Symmetry: P2_1/m
Formation energy (no corrections) (meV per atom): -1351

***

[2]
Here is La2SnCl after structural relaxation from Alexandria via LeMat-Bulk. Energies are from GGA-PBE.

The structure in POSCAR format:
```
La2SnCl
1.0
-1.0917 -6.3953 0.6307
5.8108 -0.7091 2.8673
-0.9879 -2.2807 8.8472
Cl Sn La
2 2 4
direct
0.5000 0.5000 0.0000 Cl
0.2500 0.7500 0.5000 Cl
0.0000 0.0000 0.0000 Sn
0.7500 0.2500 0.5000 Sn
0.6004 0.1250 0.2500 La
0.1496 0.6250 0.2500 La
0.3750 0.3996 0.7500 La
0.8750 0.8504 0.7500 La
```

Computed properties:
Calculated density (g cm⁻³): 4.2
Symmetry: I-42d
Formation energy (no corrections) (meV per atom): -751

***

[3]
Here is K2PtS2 after structural relaxation from Alexandria via LeMat-Bulk. Energies are from GGA-PBE.

The structure in POSCAR format:
```
K2PtS2
1.0
6.7086 0.0000 0.0000
0.0000 6.7086 0.0000
0.0000 0.0000 5.0319
K S Pt
4 4 2
direct
0.1566 0.6566 0.5000 K
0.6566 0.8434 0.5000 K
0.8434 0.3434 0.5000 K
0.3434 0.1566 0.5000 K
0.3300 0.8300 0.0000 S
0.8300 0.6700 0.0000 S
0.6700 0.1700 0.0000 S
0.1700 0.3300 0.0000 S
0.0000 0.0000 0.0000 Pt
0.5000 0.5000 0.0000 Pt
```

Computed properties:
Calculated density (g cm⁻³): 4.9
Symmetry: P4/mbm
Formation energy (no corrections) (meV per atom): -611

***

[4]
Here is Na3Pr after structural relaxation from Alexandria via LeMat-Bulk. Energies are from GGA-PBE.

The structure in POSCAR format:
```
Na3Pr
1.0
6.5946 0.0196 0.0000
2.6800 6.0255 0.0000
-4.6373 -3.0225 3.5845
Na Pr
3 1
direct
0.7500 0.2500 0.5000 Na
0.2500 0.7500 0.5000 Na
0.5000 0.5000 0.0000 Na
0.0000 0.0000 0.0000 Pr
```

Computed properties:
Calculated density (g cm⁻³): 2.5
Symmetry: I4/mmm
Energy (Ry/atom): -0.13792

***

[5]
Here is HfI2O after structural relaxation from Alexandria via LeMat-Bulk. Energies are from GGA-PBE.

The structure in POSCAR format:
```
HfI2O
1.0
0.0000 3.4812 3.4812
3.4812 0.0000 3.4812
3.4812 3.4812 0.0000
I Hf O
2 1 1
direct
0.2500 0.2500 0.2500 I
0.7500 0.7500 0.7500 I
0.5000 0.5000 0.5000 Hf
0.0000 0.0000 0.0000 O
```

Computed properties:
Calculated density (g cm⁻³): 8.8
Symmetry: Fm-3m
Formation energy (no corrections) (meV per atom): -40

***

[6]
Here is PmMgSi2Au5 after structural relaxation from Alexandria via LeMat-Bulk. Energies are from GGA-PBE.

The structure in POSCAR format:
```
PmMgSi2Au5
1.0
4.5460 0.0000 0.0000
0.0000 4.5460 0.0000
0.0000 0.0000 9.5949
Pm Mg Si Au
1 1 2 5
direct
0.0000 0.0000 0.5000 Pm
0.0000 0.0000 0.0000 Mg
0.5000 0.5000 0.2553 Si
0.5000 0.5000 0.7447 Si
0.0000 0.5000 0.1683 Au
0.5000 0.0000 0.1683 Au
0.0000 0.5000 0.8317 Au
0.5000 0.0000 0.8317 Au
0.5000 0.5000 0.5000 Au
```

Computed properties:
Calculated density (g cm⁻³): 10.1
Symmetry: P4/mmm
Formation energy (no corrections) (meV per atom): -295